## AcSm3Pd (GGA-PBE)

Data for a relaxed structure of AcSm3Pd.

Geometry as CIF:
```
data_AcSm3Pd
_chemical_formula_sum 'Ac4 Sm12 Pd4'
_space_group_name_H-M_alt 'P 1 21/c 1'
_space_group_IT_number 14
_space_group_name_Hall '-P 2ybc'
_cell_length_a 8.4033
_cell_length_b 7.5835
_cell_length_c 10.5046
_cell_angle_alpha 90.00
_cell_angle_beta 106.91
_cell_angle_gamma 90.00
loop_
_atom_site_label
_atom_site_type_symbol
_atom_site_fract_x
_atom_site_fract_y
_atom_site_fract_z
_atom_site_occupancy
Ac1 Ac 0.1805 0.0355 0.2581 1
Sm1 Sm 0.0580 0.7066 0.0228 1
Sm2 Sm 0.2849 0.5122 0.3794 1
Sm3 Sm 0.4093 0.1318 0.6066 1
Pd1 Pd 0.4330 0.7440 0.6048 1
```

Volume   32.02 Å³ per atom
Energy above the lowest structure with this stoichiometry   0 meV/atom
Formation energy   -0.2556 eV/atom